# 1
This record from Alexandria describes a PBEsol-optimized structure of Sr3NbCl. The functional is meta-GGA SCAN.

Summary:
Formation energy without anion corrections ... -0.10 eV per atom
Density ... 3.62 Mg/m³
Space group ... No. 221

abc: 5.641 5.641 5.641
angles: 90.00 90.00 90.00
Last column: magnetic moment on the atom in μB.
Sites, in units of the cell vectors:
Sr: 0.000 0.500 0.000  0.06
Sr: 0.000 0.000 0.500  0.06
Sr: 0.500 0.000 0.000  0.06
Nb: 0.500 0.500 0.500  2.59
Cl: 0.000 0.000 0.000  0.00

---

# 2
This record from Alexandria describes a PBEsol-optimized structure of SrNbCl3. The functional is meta-GGA SCAN.

Summary:
Formation energy without anion corrections ... -1.13 eV per atom
Density ... 4.03 Mg/m³
Space group ... No. 221

abc: 4.908 4.908 4.908
angles: 90.00 90.00 90.00
Last column: magnetic moment on the atom in μB.
Sites, in units of the cell vectors:
Sr: 0.500 0.500 0.500  0.01
Nb: 0.000 0.000 0.000  1.61
Cl: 0.000 0.500 0.000  0.03
Cl: 0.000 0.000 0.500  0.03
Cl: 0.500 0.000 0.000  0.03

---

# 3
This record from Alexandria describes a PBEsol-optimized structure of SrNb2Cl. The functional is meta-GGA SCAN.

Summary:
Formation energy without anion corrections ... 1.54 eV per atom
Density ... 6.52 Mg/m³
Space group ... No. 225

abc: 4.809 4.809 4.809
angles: 60.00 60.00 60.00
Sites, in units of the cell vectors:
Sr: 0.500 0.500 0.500
Nb: 0.250 0.250 0.250
Nb: 0.750 0.750 0.750
Cl: 0.000 0.000 0.000

---

# 4
This record from Alexandria describes a PBEsol-optimized structure of Sr2NbTeCl. The functional is meta-GGA SCAN.

Summary:
Formation energy without anion corrections ... -0.29 eV per atom
Density ... 4.44 Mg/m³
Space group ... No. 123

abc: 4.593 5.927 5.927
angles: 90.00 90.00 90.00
Last column: magnetic moment on the atom in μB.
Sites, in units of the cell vectors:
Sr: 0.000 0.000 0.500  0.07
Sr: 0.000 0.500 0.000  0.07
Nb: 0.000 0.000 0.000  1.70
Te: 0.500 0.500 0.500  0.01
Cl: 0.500 0.000 0.000  -0.04

---

# 5
This record from Alexandria describes a PBEsol-optimized structure of TaNbCl2. The functional is meta-GGA SCAN.

Summary:
Formation energy without anion corrections ... 0.80 eV per atom
Density ... 7.35 Mg/m³
Space group ... No. 122

abc: 5.888 6.126 5.888
angles: 61.28 90.00 118.72
Sites, in units of the cell vectors:
Nb: 0.250 0.500 0.250
Nb: 0.500 0.000 0.500
Cl: 0.122 0.750 0.875
Cl: 0.628 0.750 0.375
Cl: 0.375 0.250 0.122
Cl: 0.875 0.250 0.628
Ta: 0.750 0.500 0.750
Ta: 0.000 0.000 0.000

---

# 6
This record from Alexandria describes a PBEsol-optimized structure of NbTcCl2. The functional is meta-GGA SCAN.

Summary:
Formation energy without anion corrections ... 0.66 eV per atom
Density ... 7.59 Mg/m³
Space group ... No. 225

abc: 4.327 4.327 4.327
angles: 60.00 60.00 60.00
Sites, in units of the cell vectors:
Nb: 0.000 0.000 0.000
Tc: 0.500 0.500 0.500
Cl: 0.250 0.250 0.250
Cl: 0.750 0.750 0.750

---

# 7
This record from Alexandria describes a PBEsol-optimized structure of Nb3TeCl7. The functional is meta-GGA SCAN.

Summary:
Formation energy without anion corrections ... -1.38 eV per atom
Density ... 4.12 Mg/m³
Space group ... No. 164

abc: 6.860 6.860 12.956
angles: 90.00 90.00 120.00
Sites, in units of the cell vectors:
Nb: 0.474 0.948 0.245
Nb: 0.474 0.526 0.245
Nb: 0.526 0.052 0.755
Nb: 0.526 0.474 0.755
Nb: 0.948 0.474 0.755
Nb: 0.052 0.526 0.245
Te: 0.333 0.667 0.409
Te: 0.667 0.333 0.591
Cl: 0.166 0.332 0.657
Cl: 0.166 0.834 0.657
Cl: 0.668 0.834 0.657
Cl: 0.332 0.166 0.343
Cl: 0.834 0.166 0.343
Cl: 0.834 0.668 0.343
Cl: 0.832 0.664 0.877
Cl: 0.832 0.168 0.877
Cl: 0.667 0.333 0.140
Cl: 0.333 0.667 0.860
Cl: 0.168 0.336 0.123
Cl: 0.168 0.832 0.123
Cl: 0.664 0.832 0.123
Cl: 0.336 0.168 0.877

---

# 8
This record from Alexandria describes a PBEsol-optimized structure of Nb2TlCl. The functional is meta-GGA SCAN.

Summary:
Formation energy without anion corrections ... 0.35 eV per atom
Density ... 9.81 Mg/m³
Space group ... No. 225

abc: 4.671 4.671 4.671
angles: 60.00 60.00 60.00
Sites, in units of the cell vectors:
Tl: 0.500 0.500 0.500
Nb: 0.250 0.250 0.250
Nb: 0.750 0.750 0.750
Cl: 0.000 0.000 0.000

---

# 9
This record from Alexandria describes a PBEsol-optimized structure of Nb3Tl2Cl9. The functional is meta-GGA SCAN.

Summary:
Formation energy without anion corrections ... -1.36 eV per atom
Density ... 4.72 Mg/m³
Space group ... No. 12

abc: 9.426 9.611 9.611
angles: 115.38 103.43 103.43
Sites, in units of the cell vectors:
Nb: 0.865 0.613 0.613
Nb: 0.135 0.387 0.387
Nb: 0.857 0.275 0.454
Nb: 0.143 0.725 0.546
Nb: 0.143 0.546 0.725
Nb: 0.857 0.454 0.275
Tl: 0.674 0.054 0.735
Tl: 0.326 0.946 0.265
Tl: 0.326 0.265 0.946
Tl: 0.674 0.735 0.054
Cl: 0.000 0.289 0.711
Cl: 0.000 0.711 0.289
Cl: 0.674 0.991 0.395
Cl: 0.326 0.009 0.605
Cl: 0.326 0.605 0.009
Cl: 0.674 0.395 0.991
Cl: 0.991 0.101 0.314
Cl: 0.009 0.899 0.686
Cl: 0.009 0.686 0.899
Cl: 0.991 0.314 0.101
Cl: 0.698 0.755 0.755
Cl: 0.302 0.245 0.245
Cl: 0.336 0.822 0.822
Cl: 0.664 0.178 0.178
Cl: 0.675 0.368 0.580
Cl: 0.325 0.632 0.420
Cl: 0.325 0.420 0.632
Cl: 0.675 0.580 0.368

---

# 10
This record from Alexandria describes a PBEsol-optimized structure of NbTlCl6. The functional is meta-GGA SCAN.

Summary:
Formation energy without anion corrections ... -1.33 eV per atom
Density ... 3.80 Mg/m³
Space group ... No. 15

abc: 7.636 6.647 10.744
angles: 91.89 90.00 125.06
Sites, in units of the cell vectors:
Nb: 0.500 0.500 0.500
Nb: 0.000 0.500 0.000
Tl: 0.992 0.000 0.750
Tl: 0.008 0.000 0.250
Cl: 0.583 0.869 0.596
Cl: 0.417 0.131 0.404
Cl: 0.714 0.131 0.904
Cl: 0.286 0.869 0.096
Cl: 0.486 0.347 0.698
Cl: 0.514 0.653 0.302
Cl: 0.139 0.653 0.802
Cl: 0.861 0.347 0.198
Cl: 0.203 0.331 0.007
Cl: 0.797 0.669 0.993
Cl: 0.872 0.669 0.493
Cl: 0.128 0.331 0.507

---

# 11
This record from Alexandria describes a PBEsol-optimized structure of Nb6Tl2VCl18. The functional is meta-GGA SCAN.

Summary:
Formation energy without anion corrections ... -1.41 eV per atom
Density ... 4.67 Mg/m³
Space group ... No. 148

abc: 9.048 9.048 9.810
angles: 62.54 62.54 60.00
Last column: magnetic moment on the atom in μB.
Sites, in units of the cell vectors:
Nb: 0.594 0.344 0.356  0.01
Nb: 0.294 0.406 0.644  0.01
Nb: 0.656 0.294 0.644  0.01
Nb: 0.406 0.656 0.644  0.01
Nb: 0.344 0.706 0.356  0.01
Nb: 0.706 0.594 0.356  0.01
Tl: 0.722 0.722 0.834  0.00
Tl: 0.278 0.278 0.166  0.00
V: 0.000 0.000 0.000  2.61
Cl: 0.211 0.927 0.497  0.00
Cl: 0.148 0.573 0.839  0.00
Cl: 0.927 0.364 0.497  0.00
Cl: 0.573 0.440 0.839  0.00
Cl: 0.975 0.705 0.171  0.00
Cl: 0.636 0.789 0.503  0.00
Cl: 0.789 0.073 0.503  0.00
Cl: 0.149 0.975 0.171  0.00
Cl: 0.427 0.560 0.161  0.00
Cl: 0.851 0.025 0.829  0.00
Cl: 0.440 0.148 0.839  0.00
Cl: 0.364 0.211 0.497  0.00
Cl: 0.560 0.852 0.161  0.00
Cl: 0.025 0.295 0.829  0.00
Cl: 0.852 0.427 0.161  0.00
Cl: 0.073 0.636 0.503  0.00
Cl: 0.295 0.851 0.829  0.00
Cl: 0.705 0.149 0.171  0.00

---

# 12
This record from Alexandria describes a PBEsol-optimized structure of ZrNb2TlCl. The functional is meta-GGA SCAN.

Summary:
Formation energy without anion corrections ... 1.10 eV per atom
Density ... 7.14 Mg/m³
Space group ... No. 123

abc: 4.780 5.015 5.015
angles: 90.00 90.00 90.00
Sites, in units of the cell vectors:
Tl: 0.500 0.500 0.500
Nb: 0.000 0.000 0.500
Nb: 0.000 0.500 0.000
Zr: 0.000 0.000 0.000
Cl: 0.500 0.000 0.000

---

# 13
This record from Alexandria describes a PBEsol-optimized structure of NbWCl2. The functional is meta-GGA SCAN.

Summary:
Formation energy without anion corrections ... 1.11 eV per atom
Density ... 9.93 Mg/m³
Space group ... No. 225

abc: 4.348 4.348 4.348
angles: 60.00 60.00 60.00
Sites, in units of the cell vectors:
Nb: 0.000 0.000 0.000
W: 0.500 0.500 0.500
Cl: 0.250 0.250 0.250
Cl: 0.750 0.750 0.750

---

# 14
This record from Alexandria describes a PBEsol-optimized structure of Nb3WCl. The functional is meta-GGA SCAN.

Summary:
Formation energy without anion corrections ... 0.98 eV per atom
Density ... 9.23 Mg/m³
Space group ... No. 221

abc: 4.474 4.474 4.474
angles: 90.00 90.00 90.00
Sites, in units of the cell vectors:
Nb: 0.000 0.500 0.000
Nb: 0.000 0.000 0.500
Nb: 0.500 0.000 0.000
W: 0.500 0.500 0.500
Cl: 0.000 0.000 0.000

---

# 15
This record from Alexandria describes a PBEsol-optimized structure of Nb2ZnCl. The functional is meta-GGA SCAN.

Summary:
Formation energy without anion corrections ... 0.33 eV per atom
Density ... 7.59 Mg/m³
Space group ... No. 225

abc: 4.459 4.459 4.459
angles: 60.00 60.00 60.00
Sites, in units of the cell vectors:
Nb: 0.250 0.250 0.250
Nb: 0.750 0.750 0.750
Zn: 0.500 0.500 0.500
Cl: 0.000 0.000 0.000

---

# 16
This record from Alexandria describes a PBEsol-optimized structure of NbZn3Cl. The functional is meta-GGA SCAN.

Summary:
Formation energy without anion corrections ... 1.01 eV per atom
Density ... 5.59 Mg/m³
Space group ... No. 221

abc: 4.585 4.585 4.585
angles: 90.00 90.00 90.00
Last column: magnetic moment on the atom in μB.
Sites, in units of the cell vectors:
Nb: 0.500 0.500 0.500  1.62
Zn: 0.000 0.500 0.000  -0.04
Zn: 0.000 0.000 0.500  -0.04
Zn: 0.500 0.000 0.000  -0.04
Cl: 0.000 0.000 0.000  0.06

---

# 17
This record from Alexandria describes a PBEsol-optimized structure of Nd4PClO8. The functional is meta-GGA SCAN.

Summary:
Formation energy without anion corrections ... -3.47 eV per atom
Density ... 5.96 Mg/m³
Space group ... No. 31

abc: 5.794 5.744 12.922
angles: 90.00 90.00 90.00
Sites, in units of the cell vectors:
Nd: 0.433 0.013 0.661
Nd: 0.433 0.013 0.339
Nd: 0.933 0.987 0.839
Nd: 0.933 0.987 0.161
Nd: 0.464 0.508 0.832
Nd: 0.464 0.508 0.168
Nd: 0.964 0.492 0.668
Nd: 0.964 0.492 0.332
P: 0.498 0.530 0.500
P: 0.998 0.470 0.000
Cl: 0.534 0.015 0.000
Cl: 0.034 0.985 0.500
O: 0.202 0.759 0.753
O: 0.202 0.759 0.247
O: 0.702 0.241 0.747
O: 0.702 0.241 0.253
O: 0.194 0.245 0.768
O: 0.194 0.245 0.232
O: 0.694 0.755 0.732
O: 0.694 0.755 0.268
O: 0.504 0.800 0.500
O: 0.004 0.200 0.000
O: 0.371 0.436 0.403
O: 0.371 0.436 0.597
O: 0.871 0.564 0.097
O: 0.871 0.564 0.903
O: 0.753 0.443 0.500
O: 0.253 0.557 0.000

---

# 18
This record from Alexandria describes a PBEsol-optimized structure of NdSeClO3. The functional is meta-GGA SCAN.

Summary:
Formation energy without anion corrections ... -2.22 eV per atom
Density ... 5.12 Mg/m³
Space group ... No. 62

abc: 5.337 11.101 13.422
angles: 90.00 90.00 90.00
Sites, in units of the cell vectors:
Nd: 0.750 0.072 0.645
Nd: 0.250 0.570 0.400
Nd: 0.750 0.430 0.600
Nd: 0.750 0.572 0.855
Nd: 0.750 0.930 0.900
Nd: 0.250 0.070 0.100
Nd: 0.250 0.428 0.145
Nd: 0.250 0.928 0.355
Se: 0.250 0.260 0.530
Se: 0.750 0.240 0.030
Se: 0.250 0.760 0.970
Se: 0.750 0.344 0.315
Se: 0.250 0.656 0.685
Se: 0.750 0.740 0.470
Se: 0.250 0.156 0.815
Se: 0.750 0.844 0.185
Cl: 0.750 0.331 0.802
Cl: 0.250 0.169 0.302
Cl: 0.250 0.669 0.198
Cl: 0.750 0.013 0.432
Cl: 0.250 0.487 0.932
Cl: 0.750 0.513 0.068
Cl: 0.250 0.987 0.568
Cl: 0.750 0.831 0.698
O: 0.750 0.837 0.059
O: 0.250 0.917 0.972
O: 0.999 0.442 0.292
O: 0.750 0.337 0.441
O: 0.501 0.442 0.292
O: 0.750 0.083 0.028
O: 0.250 0.417 0.528
O: 0.996 0.756 0.388
O: 0.004 0.244 0.612
O: 0.001 0.058 0.792
O: 0.499 0.058 0.792
O: 0.496 0.244 0.612
O: 0.250 0.663 0.559
O: 0.750 0.583 0.472
O: 0.496 0.744 0.888
O: 0.004 0.744 0.888
O: 0.501 0.942 0.208
O: 0.001 0.558 0.708
O: 0.504 0.256 0.112
O: 0.999 0.942 0.208
O: 0.250 0.163 0.941
O: 0.996 0.256 0.112
O: 0.499 0.558 0.708
O: 0.504 0.756 0.388